[1]
Ac2TbSm3Se6 after structural relaxation, computed with PBE.

Values from the calculation:
Raw formation energy (eV/atom): -1.8063
DFT total energy (eV/atom): -5.799
Size of the total moment (Bohr magnetons per cell): 0.0

Structure (CIF):
```
data_Ac2TbSm3Se6
_chemical_formula_sum 'Ac4 Tb2 Sm6 Se12'
_cell_length_a 7.362
_cell_length_b 12.797
_cell_length_c 7.391
_cell_angle_alpha 90.00
_cell_angle_beta 109.59
_cell_angle_gamma 90.00
_symmetry_space_group_name_H-M 'C 1 2/m 1'
_symmetry_Int_Tables_number 12
loop_
_symmetry_equiv_pos_as_xyz
'x,y,z'
'-x,-y,-z'
'-x,y,-z'
'x,-y,z'
'x+1/2,y+1/2,z'
'-x+1/2,-y+1/2,-z'
'-x+1/2,y+1/2,-z'
'x+1/2,-y+1/2,z'
loop_
_atom_site_label
_atom_site_type_symbol
_atom_site_fract_x
_atom_site_fract_y
_atom_site_fract_z
_atom_site_occupancy
Ac1 Ac 0.000 0.166 0.000 1
Tb1 Tb 0.000 0.500 0.000 1
Sm1 Sm 0.000 0.000 0.500 1
Sm2 Sm 0.000 0.327 0.500 1
Se1 Se 0.230 0.500 0.735 1
Se2 Se 0.245 0.340 0.258 1
```

[2]
RbYSi after structural relaxation, computed with PBE.

Values from the calculation:
Raw formation energy (eV/atom): -0.2466
DFT total energy (eV/atom): -4.531
Distance to the lowest polymorph of the same formula (meV/atom): 44.5
Size of the total moment (Bohr magnetons per cell): 0.0

Structure (CIF):
```
data_RbYSi
_chemical_formula_sum 'Rb2 Y2 Si2'
_cell_length_a 4.034
_cell_length_b 4.143
_cell_length_c 14.290
_cell_angle_alpha 97.85
_cell_angle_beta 97.82
_cell_angle_gamma 90.00
_symmetry_space_group_name_H-M 'P 1'
_symmetry_Int_Tables_number 1
loop_
_symmetry_equiv_pos_as_xyz
'x,y,z'
loop_
_atom_site_label
_atom_site_type_symbol
_atom_site_fract_x
_atom_site_fract_y
_atom_site_fract_z
_atom_site_occupancy
Rb1 Rb 0.000 0.000 0.000 1
Rb2 Rb 0.324 0.327 0.676 1
Y1 Y 0.121 0.628 0.251 1
Y2 Y 0.705 0.210 0.425 1
Si1 Si 0.223 0.727 0.463 1
Si2 Si 0.603 0.111 0.214 1
```

[3]
Rb2In5Sn3 after structural relaxation, computed with PBE.

Values from the calculation:
Formation energy from the elements (eV/atom): -0.14
DFT total energy (eV/atom): -2.906
Distance to the lowest polymorph of the same formula (meV/atom): 14.3
Size of the total moment (Bohr magnetons per cell): 0.0

Structure (CIF):
```
data_Rb2In5Sn3
_chemical_formula_sum 'Rb2 In5 Sn3'
_cell_length_a 5.239
_cell_length_b 5.239
_cell_length_c 12.120
_cell_angle_alpha 90.00
_cell_angle_beta 90.00
_cell_angle_gamma 90.00
_symmetry_space_group_name_H-M 'P -4 m 2'
_symmetry_Int_Tables_number 115
loop_
_symmetry_equiv_pos_as_xyz
'x,y,z'
'y,-x,-z'
'-x,-y,z'
'-y,x,-z'
'-x,y,z'
'-y,-x,-z'
'x,-y,z'
'y,x,-z'
loop_
_atom_site_label
_atom_site_type_symbol
_atom_site_fract_x
_atom_site_fract_y
_atom_site_fract_z
_atom_site_occupancy
Rb1 Rb 0.000 0.500 0.249 1
In1 In 0.000 0.000 0.500 1
In2 In 0.000 0.500 0.629 1
In3 In 0.500 0.500 0.000 1
In4 In 0.500 0.500 0.500 1
Sn1 Sn 0.000 0.000 0.000 1
Sn2 Sn 0.000 0.500 0.872 1
```

[4]
ThMg2Zr after structural relaxation, computed with PBE.

Values from the calculation:
Formation energy from the elements (eV/atom): 0.12
DFT total energy (eV/atom): -4.673
Distance to the lowest polymorph of the same formula (meV/atom): 0.0
Size of the total moment (Bohr magnetons per cell): 0.0

Structure (CIF):
```
data_ThMg2Zr
_chemical_formula_sum 'Th1 Mg2 Zr1'
_cell_length_a 3.676
_cell_length_b 3.676
_cell_length_c 7.425
_cell_angle_alpha 90.00
_cell_angle_beta 90.00
_cell_angle_gamma 90.00
_symmetry_space_group_name_H-M 'P 4/m m m'
_symmetry_Int_Tables_number 123
_symmetry_space_group_name_Hall '-P 4 2'
loop_
_atom_site_label
_atom_site_type_symbol
_atom_site_fract_x
_atom_site_fract_y
_atom_site_fract_z
_atom_site_occupancy
Th1 Th 0.000 0.000 0.000 1
Mg1 Mg 0.500 0.500 0.281 1
Zr1 Zr 0.000 0.000 0.500 1
```

[5]
ZnAuCl2 after structural relaxation, computed with PBE.

Values from the calculation:
Raw formation energy (eV/atom): -0.0474
DFT total energy (eV/atom): -2.109
Distance to the lowest polymorph of the same formula (meV/atom): 406.1
Size of the total moment (Bohr magnetons per cell): 0.0

Structure (CIF):
```
data_ZnAuCl2
_chemical_formula_sum 'Zn2 Au2 Cl4'
_cell_length_a 3.732
_cell_length_b 3.732
_cell_length_c 13.407
_cell_angle_alpha 90.00
_cell_angle_beta 90.00
_cell_angle_gamma 90.00
_symmetry_space_group_name_H-M 'I -4 m 2'
_symmetry_Int_Tables_number 119
_symmetry_space_group_name_Hall 'I -4 -2'
loop_
_atom_site_label
_atom_site_type_symbol
_atom_site_fract_x
_atom_site_fract_y
_atom_site_fract_z
_atom_site_occupancy
Zn1 Zn 0.000 0.000 0.000 1
Au1 Au 0.000 0.500 0.750 1
Cl1 Cl 0.000 0.000 0.500 1
Cl2 Cl 0.000 0.500 0.250 1
```

[6]
Pr3Tm after structural relaxation, computed with PBE.

Values from the calculation:
Formation energy from the elements (eV/atom): 0.04
DFT total energy (eV/atom): -4.665
Distance to the lowest polymorph of the same formula (meV/atom): 24.0
Size of the total moment (Bohr magnetons per cell): 0.0

Structure (CIF):
```
data_Pr3Tm
_chemical_formula_sum 'Pr3 Tm1'
_cell_length_a 3.695
_cell_length_b 5.933
_cell_length_c 6.361
_cell_angle_alpha 90.00
_cell_angle_beta 90.00
_cell_angle_gamma 90.00
_symmetry_space_group_name_H-M 'P m m 2'
_symmetry_Int_Tables_number 25
loop_
_symmetry_equiv_pos_as_xyz
'x,y,z'
'-x,-y,z'
'-x,y,z'
'x,-y,z'
loop_
_atom_site_label
_atom_site_type_symbol
_atom_site_fract_x
_atom_site_fract_y
_atom_site_fract_z
_atom_site_occupancy
Pr1 Pr 0.000 0.000 0.000 1
Pr2 Pr 0.000 0.500 0.335 1
Pr3 Pr 0.500 0.500 0.834 1
Tm1 Tm 0.500 0.000 0.502 1
```

[7]
Tl2CdPt after structural relaxation, computed with PBE.

Values from the calculation:
Formation energy from the elements (eV/atom): 0.00
DFT total energy (eV/atom): -2.919
Distance to the lowest polymorph of the same formula (meV/atom): 80.1
Size of the total moment (Bohr magnetons per cell): 0.0

Structure (CIF):
```
data_Tl2CdPt
_chemical_formula_sum 'Tl2 Cd1 Pt1'
_cell_length_a 5.372
_cell_length_b 4.095
_cell_length_c 6.101
_cell_angle_alpha 90.00
_cell_angle_beta 115.71
_cell_angle_gamma 90.00
_symmetry_space_group_name_H-M 'P 1 2/m 1'
_symmetry_Int_Tables_number 10
loop_
_symmetry_equiv_pos_as_xyz
'x,y,z'
'-x,-y,-z'
'-x,y,-z'
'x,-y,z'
loop_
_atom_site_label
_atom_site_type_symbol
_atom_site_fract_x
_atom_site_fract_y
_atom_site_fract_z
_atom_site_occupancy
Tl1 Tl 0.172 0.000 0.340 1
Cd1 Cd 0.500 0.500 0.000 1
Pt1 Pt 0.000 0.500 0.000 1
```

[8]
ZrRe2Se after structural relaxation, computed with PBE.

Values from the calculation:
Raw formation energy (eV/atom): 0.5117
DFT total energy (eV/atom): -8.721
Size of the total moment (Bohr magnetons per cell): 0.0

Structure (CIF):
```
data_ZrRe2Se
_chemical_formula_sum 'Zr2 Re4 Se2'
_cell_length_a 3.161
_cell_length_b 4.826
_cell_length_c 9.047
_cell_angle_alpha 90.00
_cell_angle_beta 90.00
_cell_angle_gamma 90.00
_symmetry_space_group_name_H-M 'C m m m'
_symmetry_Int_Tables_number 65
_symmetry_space_group_name_Hall '-C 2 2'
loop_
_atom_site_label
_atom_site_type_symbol
_atom_site_fract_x
_atom_site_fract_y
_atom_site_fract_z
_atom_site_occupancy
Zr1 Zr 0.000 0.000 0.000 1
Re1 Re 0.000 0.500 0.251 1
Se1 Se 0.000 0.000 0.500 1
```

Question: DFT total energy of number 6 (Pr3Tm)?
Answer: -4.665 eV/atom

Question: Among the records above, which one has the highest DFT total energy?
Answer: ZnAuCl2

Question: What is the formula in the third record?
Answer: Rb2In5Sn3